No. 1
VASP calculation (PBE) on a relaxed Ca3AgPd crystal.

Unit cell a=7.7127 b=8.3474 c=9.1269 alpha=105.18 beta=90.00 gamma=90.00
Element x y z (fractional)
Ca 0.3179 0.5356 0.1530
Ca 0.8451 0.4029 0.2307
Ca 0.5072 0.7128 0.5463
Ca 0.9928 0.2128 0.5463
Ca 0.1549 0.5971 0.7693
Ca 0.6549 0.9029 0.2307
Ca 0.4928 0.2872 0.4537
Ca 0.6821 0.4644 0.8470
Ca 0.1821 0.0356 0.1530
Ca 0.0072 0.7872 0.4537
Ca 0.3451 0.0971 0.7693
Ca 0.8179 0.9644 0.8470
Pd 0.6734 0.0324 0.5700
Pd 0.8266 0.5324 0.5700
Pd 0.3266 0.9676 0.4300
Pd 0.1734 0.4676 0.4300
Ag 0.9587 0.6870 0.0754
Ag 0.0413 0.3130 0.9246
Ag 0.5413 0.1870 0.0754
Ag 0.4587 0.8130 0.9246

Properties
energy relative to the elements = -0.44 eV per atom
V = 567 Å³ per cell

***

No. 2
VASP calculation (PBE) on a relaxed CaAg3Pd2 crystal.

Unit cell a=5.9532 b=5.9532 c=7.9561 alpha=68.03 beta=68.03 gamma=60.00
Element x y z (fractional)
Ag 0.7239 0.7239 0.3219
Ag 0.7239 0.2303 0.3219
Ag 0.7697 0.2761 0.6781
Ag 0.2761 0.2761 0.6781
Ag 0.2303 0.7239 0.3219
Ag 0.2761 0.7697 0.6781
Pd 0.0000 0.0000 0.0000
Pd 0.5000 0.5000 0.0000
Pd 0.5000 0.0000 0.0000
Pd 0.0000 0.5000 0.0000
Ca 0.2290 0.2290 0.3129
Ca 0.7710 0.7710 0.6871

Properties
energy relative to the elements = -0.19 eV per atom
V = 220 Å³ per cell

***

No. 3
VASP calculation (PBE) on a relaxed Ca4Ag3Pd crystal.

Unit cell a=4.0218 b=4.6441 c=11.2334 alpha=90.00 beta=90.00 gamma=90.00
Element x y z (fractional)
Pd 0.5000 0.5000 0.0771
Ca 0.0000 0.0000 0.1373
Ca 0.5000 0.5000 0.3471
Ca 0.5000 0.0000 0.6442
Ca 0.0000 0.5000 0.8702
Ag 0.5000 0.0000 0.9253
Ag 0.0000 0.0000 0.4235
Ag 0.0000 0.5000 0.5752

Properties
energy relative to the elements = -0.42 eV per atom
V = 210 Å³ per cell

***

No. 4
VASP calculation (PBE) on a relaxed Ca5Ag4Pd crystal.

Unit cell a=3.6779 b=3.6779 c=18.4059 alpha=90.00 beta=90.00 gamma=90.00
Element x y z (fractional)
Ag 0.0000 0.0000 0.8053
Ag 0.0000 0.0000 0.1947
Ag 0.0000 0.0000 0.6016
Ag 0.0000 0.0000 0.3984
Ca 0.5000 0.5000 0.7030
Ca 0.5000 0.5000 0.2970
Ca 0.5000 0.5000 0.5000
Ca 0.5000 0.5000 0.9081
Ca 0.5000 0.5000 0.0919
Pd 0.0000 0.0000 0.0000

Properties
energy relative to the elements = -0.39 eV per atom
V = 249 Å³ per cell

***

No. 5
VASP calculation (PBE) on a relaxed Ca3Ag4Pd2 crystal.

Unit cell a=4.8892 b=5.6125 c=8.8670 alpha=68.25 beta=73.78 gamma=64.15
Element x y z (fractional)
Ag 0.9023 0.5466 0.6487
Ag 0.6931 0.6630 0.9511
Ag 0.0977 0.4534 0.3513
Ag 0.3069 0.3370 0.0489
Ca 0.3938 0.8424 0.3698
Ca 0.6062 0.1576 0.6302
Ca 0.0000 0.0000 0.0000
Pd 0.7351 0.2719 0.2584
Pd 0.2649 0.7281 0.7416

Properties
energy relative to the elements = -0.37 eV per atom
V = 201 Å³ per cell

***

No. 6
VASP calculation (PBE) on a relaxed Ca7Ag2Pd2 crystal.

Unit cell a=6.9754 b=7.2137 c=6.9754 alpha=90.00 beta=105.76 gamma=90.00
Element x y z (fractional)
Ca 0.4998 0.2481 0.5002
Ca 0.5003 0.7395 0.9998
Ca 0.5002 0.7519 0.4998
Ca 0.9998 0.2605 0.5003
Ca 0.4997 0.2605 0.0002
Ca 0.0000 0.0000 0.0000
Ca 0.0002 0.7395 0.4997
Pd 0.7152 0.0000 0.2848
Pd 0.2848 0.0000 0.7152
Ag 0.1754 0.5000 0.1754
Ag 0.8246 0.5000 0.8246

Properties
energy relative to the elements = -0.32 eV per atom
V = 338 Å³ per cell